(1)
First-principles (PBE) data for a relaxed AlTlIn2F crystal, as listed in Alexandria.

```
AlTlIn2F
1.0
5.682 0.000 0.000
0.000 3.734 0.000
0.000 0.000 5.682
F In Al Tl
1 2 1 1
direct
0.000 0.500 0.000 F
0.000 0.000 0.500 In
0.500 0.000 0.000 In
0.000 0.000 0.000 Al
0.500 0.500 0.500 Tl
```

Output
**ΔE_f (raw)**: -297.9 kJ/mol of formula units
**DOS(E_F)**: 2.32 states/eV/cell
**Crystal system**: tetragonal

=====

(2)
First-principles (PBE) data for a relaxed Ce8Ga3Ge2 crystal, as listed in Alexandria.

```
Ce8Ga3Ge2
1.0
4.108 0.000 1.361
0.000 9.811 0.000
-0.840 -4.905 7.604
Ga Ce Ge
3 8 2
direct
0.000 0.781 0.000 Ga
0.500 0.000 0.000 Ga
0.000 0.219 0.000 Ga
0.931 0.151 0.303 Ce
0.630 0.094 0.701 Ce
0.630 0.608 0.701 Ce
0.370 0.392 0.299 Ce
0.069 0.849 0.697 Ce
0.767 0.434 0.868 Ce
0.370 0.906 0.299 Ce
0.233 0.566 0.132 Ce
0.659 0.712 0.423 Ge
0.341 0.288 0.577 Ge
```

Output
**DOS(E_F)**: 35.30 states/eV/cell
**DFT formation energy**: -0.36 eV/atom
**Crystal system**: monoclinic

=====

(3)
First-principles (PBE) data for a relaxed Re3Hg2 crystal, as listed in Alexandria.

```
Re3Hg2
1.0
-8.429 -0.013 1.371
-5.849 4.767 1.406
-3.262 -1.143 -4.190
Re Hg
6 4
direct
0.296 0.488 0.801 Re
0.415 0.801 0.488 Re
0.288 0.212 0.212 Re
0.038 0.962 0.962 Re
0.449 0.835 0.954 Re
0.762 0.954 0.835 Re
0.738 0.856 0.393 Hg
0.013 0.393 0.856 Hg
0.394 0.512 0.237 Hg
0.857 0.237 0.512 Hg
```

Output
**DOS(E_F)**: 8.88 states/eV/cell
**DFT formation energy**: 0.92 eV/atom
**Crystal system**: orthorhombic
**Polymorph energy (0 for the lowest one)**: 304 meV/atom

=====

(4)
First-principles (PBE) data for a relaxed NbP2OF crystal, as listed in Alexandria.

```
NbP2OF
1.0
-0.421 0.233 -3.821
-1.113 -3.685 -0.102
-4.228 1.262 0.543
P O Nb F
2 1 1 1
direct
0.000 0.500 0.000 P
0.500 0.000 0.000 P
0.000 0.000 0.500 O
0.500 0.500 0.500 Nb
0.000 0.000 0.000 F
```

Output
**ΔE_f (raw)**: 131.5 kJ/mol of formula units
**DOS(E_F)**: 2.39 states/eV/cell
**Crystal system**: tetragonal
**Polymorph energy (0 for the lowest one)**: 635 meV/atom